Compound: CoPtSO
Source: OQMD via LeMat-Bulk
Functional: PBE+U
Structure: optimized geometry

a b c (Å): 5.617 7.081 5.712
angles (deg): 90.00 90.00 90.00
Fractional positions:
S (0.145, 0.365, 0.382)
Co (0.121, 0.086, 0.616)
O (0.700, 0.148, 0.225)
S (0.855, 0.635, 0.882)
O (0.800, 0.148, 0.725)
Pt (0.517, 0.272, 0.526)
Co (0.621, 0.914, 0.616)
Pt (0.017, 0.728, 0.526)
S (0.355, 0.365, 0.882)
Co (0.379, 0.086, 0.116)
O (0.300, 0.852, 0.725)
S (0.645, 0.635, 0.382)
Pt (0.983, 0.272, 0.026)
O (0.200, 0.852, 0.225)
Pt (0.483, 0.728, 0.026)
Co (0.879, 0.914, 0.116)

Properties
Space-group type   Pca2_1, No. 29
V   14.2 A^3/atom
E above lowest polymorph   0.191 eV per atom
Total magnetic moment   3.0 μB/f.u.
Calculated total energy   -5.341 eV/atom